No. 1
First-principles (PBE-GGA) data for an optimized crystal structure of SmGdLuCd, as listed in the Alexandria database.

DFT total energy = -6.12 eV per atom
spin magnetization = 1.90 μB/atom

Cell lengths 5.4615, 5.4615, 5.4615 Å; angles 60.00, 60.00, 60.00 degrees
Element x y z (fractional)
Gd 0.5000 0.5000 0.5000
Lu 0.2500 0.2500 0.2500
Sm 0.0000 0.0000 0.0000
Cd 0.7500 0.7500 0.7500

No. 2
First-principles (PBE-GGA) data for an optimized crystal structure of GdLuCdSn, as listed in the Alexandria database.

DFT total energy = -6.35 eV per atom
spin magnetization = 1.88 μB/atom

Cell lengths 5.2726, 5.2726, 5.2726 Å; angles 60.00, 60.00, 60.00 degrees
Element x y z (fractional)
Gd 0.5000 0.5000 0.5000
Lu 0.0000 0.0000 0.0000
Sn 0.2500 0.2500 0.2500
Cd 0.7500 0.7500 0.7500

No. 3
First-principles (PBE-GGA) data for an optimized crystal structure of GdLuCdTc, as listed in the Alexandria database.

DFT total energy = -7.57 eV per atom
spin magnetization = 1.81 μB/atom

Cell lengths 5.0143, 5.0143, 5.0143 Å; angles 60.00, 60.00, 60.00 degrees
Element x y z (fractional)
Gd 0.0000 0.0000 0.0000
Lu 0.5000 0.5000 0.5000
Tc 0.7500 0.7500 0.7500
Cd 0.2500 0.2500 0.2500

spin magnetization of number 1 (SmGdLuCd)?
1.90 μB/atom